#i
A relaxed Sc2NiOs crystal. Source: Alexandria, functional GGA-PBE.

```
data_Sc2NiOs
_chemical_formula_sum 'Sc2 Ni1 Os1'
_space_group_name_H-M_alt 'P 4/m m m'
_space_group_IT_number 123
_space_group_name_Hall '-P 4 2'
_cell_length_a 4.4857
_cell_length_b 4.4857
_cell_length_c 3.2473
_cell_angle_alpha 90.00
_cell_angle_beta 90.00
_cell_angle_gamma 90.00
loop_
_atom_site_label
_atom_site_type_symbol
_atom_site_fract_x
_atom_site_fract_y
_atom_site_fract_z
Sc1 Sc 0.0000 0.5000 0.0000
Ni1 Ni 0.0000 0.0000 0.5000
Os1 Os 0.5000 0.5000 0.5000
```

#ii
A relaxed Sc2NiOs crystal. Source: Alexandria, functional GGA-PBE.

```
data_Sc2NiOs
_chemical_formula_sum 'Sc4 Ni2 Os2'
_space_group_name_H-M_alt 'I -4 m 2'
_space_group_IT_number 119
_space_group_name_Hall 'I -4 -2'
_cell_length_a 3.8205
_cell_length_b 3.8205
_cell_length_c 9.0342
_cell_angle_alpha 90.00
_cell_angle_beta 90.00
_cell_angle_gamma 90.00
loop_
_atom_site_label
_atom_site_type_symbol
_atom_site_fract_x
_atom_site_fract_y
_atom_site_fract_z
Sc1 Sc 0.0000 0.0000 0.0000
Sc2 Sc 0.0000 0.5000 0.2500
Ni1 Ni 0.0000 0.5000 0.7500
Os1 Os 0.0000 0.0000 0.5000
```

Most stable structure: #i

#i
A relaxed Sc4NiOs crystal. Source: Alexandria, functional GGA-PBE.

```
data_Sc4NiOs
_chemical_formula_sum 'Sc8 Ni2 Os2'
_space_group_name_H-M_alt 'P 1 21/m 1'
_space_group_IT_number 11
_cell_length_a 5.1919
_cell_length_b 5.9228
_cell_length_c 7.8302
_cell_angle_alpha 90.00
_cell_angle_beta 106.99
_cell_angle_gamma 90.00
loop_
_space_group_symop_operation_xyz
'x,y,z'
'-x,-y,-z'
'-x,y+1/2,-z'
'x,-y+1/2,z'
loop_
_atom_site_label
_atom_site_type_symbol
_atom_site_fract_x
_atom_site_fract_y
_atom_site_fract_z
Sc1 Sc 0.1721 0.2500 0.0701
Sc2 Sc 0.2488 0.5111 0.7025
Sc3 Sc 0.2637 0.7500 0.3415
Ni1 Ni 0.3826 0.7500 0.0322
Os1 Os 0.2660 0.2500 0.4123
```

#ii
A relaxed Sc4NiOs crystal. Source: Alexandria, functional GGA-PBE.

```
data_Sc4NiOs
_chemical_formula_sum 'Sc16 Ni4 Os4'
_space_group_name_H-M_alt 'F -4 3 m'
_space_group_IT_number 216
_space_group_name_Hall 'F -4 2 3'
_cell_length_a 7.6220
_cell_length_b 7.6220
_cell_length_c 7.6220
_cell_angle_alpha 90.00
_cell_angle_beta 90.00
_cell_angle_gamma 90.00
loop_
_atom_site_label
_atom_site_type_symbol
_atom_site_fract_x
_atom_site_fract_y
_atom_site_fract_z
Sc1 Sc 0.1241 0.1241 0.3759
Ni1 Ni 0.0000 0.0000 0.0000
Os1 Os 0.2500 0.2500 0.7500
```

Most stable structure: #i

#i
A relaxed ScNiOs3 crystal. Source: Alexandria, functional GGA-PBE.

```
data_ScNiOs3
_chemical_formula_sum 'Sc1 Ni1 Os3'
_space_group_name_H-M_alt 'P m -3 m'
_space_group_IT_number 221
_space_group_name_Hall '-P 4 2 3'
_cell_length_a 4.4565
_cell_length_b 4.4565
_cell_length_c 4.4565
_cell_angle_alpha 90.00
_cell_angle_beta 90.00
_cell_angle_gamma 90.00
loop_
_atom_site_label
_atom_site_type_symbol
_atom_site_fract_x
_atom_site_fract_y
_atom_site_fract_z
Sc1 Sc 0.0000 0.0000 0.0000
Ni1 Ni 0.5000 0.5000 0.5000
Os1 Os 0.0000 0.5000 0.5000
```

#ii
A relaxed ScNiOs3 crystal. Source: Alexandria, functional GGA-PBE.

```
data_ScNiOs3
_chemical_formula_sum 'Sc1 Ni1 Os3'
_space_group_name_H-M_alt 'P m -3 m'
_space_group_IT_number 221
_space_group_name_Hall '-P 4 2 3'
_cell_length_a 4.5839
_cell_length_b 4.5839
_cell_length_c 4.5839
_cell_angle_alpha 90.00
_cell_angle_beta 90.00
_cell_angle_gamma 90.00
loop_
_atom_site_label
_atom_site_type_symbol
_atom_site_fract_x
_atom_site_fract_y
_atom_site_fract_z
Sc1 Sc 0.0000 0.0000 0.0000
Ni1 Ni 0.5000 0.5000 0.5000
Os1 Os 0.0000 0.0000 0.5000
```

Most stable structure: #i